In2GaPb at its PBEsol-relaxed geometry. Source: Alexandria via LeMat-Bulk, functional meta-GGA SCAN.

Lattice parameters (Å, degrees): 5.2305 5.2305 5.2305 60.00 60.00 60.00
With the nearest neighbours (Å) after each atom.
Fractional positions:
Pb 0.5000 0.5000 0.5000  8 In 3.20
Ga 0.0000 0.0000 0.0000  8 In 3.20
In 0.2500 0.2500 0.2500  4 Pb 3.20, 4 Ga 3.20
In 0.7500 0.7500 0.7500  4 Ga 3.20, 4 Pb 3.20

InGa2Pd2 at its PBEsol-relaxed geometry. Source: Alexandria via LeMat-Bulk, functional meta-GGA SCAN.

Lattice parameters (Å, degrees): 3.6177 3.6177 6.8813 105.24 105.24 90.00
With the nearest neighbours (Å) after each atom.
Fractional positions:
Ga 0.2500 0.7500 0.5000  4 Ga 2.56, 4 Pd 2.56
Ga 0.7500 0.2500 0.5000  4 Ga 2.56, 4 Pd 2.56
Pd 0.3922 0.3922 0.7844  4 Ga 2.56, 1 Pd 2.75
Pd 0.6078 0.6078 0.2156  4 Ga 2.56, 1 Pd 2.75
In 0.0000 0.0000 0.0000  8 Pd 2.91

InGa2Pt2 at its PBEsol-relaxed geometry. Source: Alexandria via LeMat-Bulk, functional meta-GGA SCAN.

Lattice parameters (Å, degrees): 3.7036 3.7036 6.7387 105.95 105.95 90.00
With the nearest neighbours (Å) after each atom.
Fractional positions:
Ga 0.2500 0.7500 0.5000  4 Pt 2.54, 4 Ga 2.62
Ga 0.7500 0.2500 0.5000  4 Pt 2.54, 4 Ga 2.62
Pt 0.3900 0.3900 0.7799  4 Ga 2.54, 1 Pt 2.73
Pt 0.6100 0.6100 0.2201  4 Ga 2.54, 1 Pt 2.73
In 0.0000 0.0000 0.0000  8 Pt 2.95

InGaPt3 at its PBEsol-relaxed geometry. Source: Alexandria via LeMat-Bulk, functional meta-GGA SCAN.

Lattice parameters (Å, degrees): 4.8931 4.8931 4.8931 90.00 90.00 90.00
With the nearest neighbours (Å) after each atom.
Fractional positions:
Ga 0.5000 0.5000 0.5000  12 Pt 3.46
Pt 0.0000 0.5000 0.0000  2 In 2.45
Pt 0.0000 0.0000 0.5000  2 In 2.45
Pt 0.5000 0.0000 0.0000  2 In 2.45
In 0.0000 0.0000 0.0000  6 Pt 2.45

RbIn2Ga2 at its PBEsol-relaxed geometry. Source: Alexandria via LeMat-Bulk, functional meta-GGA SCAN.

Lattice parameters (Å, degrees): 4.7133 4.7133 6.8322 110.18 110.18 90.00
With the nearest neighbours (Å) after each atom.
Fractional positions:
Ga 0.2500 0.7500 0.5000  4 In 2.81
Ga 0.7500 0.2500 0.5000  4 In 2.81
Rb 0.0000 0.0000 0.0000  8 In 3.64, 8 Ga 3.80
In 0.3778 0.3778 0.7555  4 Ga 2.81, 1 In 2.92
In 0.6222 0.6222 0.2445  4 Ga 2.81, 1 In 2.92

RbIn3Ga at its PBEsol-relaxed geometry. Source: Alexandria via LeMat-Bulk, functional meta-GGA SCAN.

Lattice parameters (Å, degrees): 6.0667 6.0667 6.0667 90.00 90.00 90.00
With the nearest neighbours (Å) after each atom.
Fractional positions:
Ga 0.5000 0.5000 0.5000  12 In 4.29
Rb 0.0000 0.0000 0.0000  6 In 3.03
In 0.0000 0.5000 0.0000  2 Rb 3.03
In 0.0000 0.0000 0.5000  2 Rb 3.03
In 0.5000 0.0000 0.0000  2 Rb 3.03

In2GaRh2 at its PBEsol-relaxed geometry. Source: Alexandria via LeMat-Bulk, functional meta-GGA SCAN.

Lattice parameters (Å, degrees): 4.0604 6.4814 6.4814 90.00 90.00 90.00
With the nearest neighbours (Å) after each atom.
Fractional positions:
Rh 0.0000 0.3478 0.8478  2 Ga 2.46, 2 In 2.68
Rh 0.0000 0.8478 0.6522  2 Ga 2.46, 2 In 2.68
Rh 0.0000 0.6522 0.1522  2 Ga 2.46, 2 In 2.68
Rh 0.0000 0.1522 0.3478  2 Ga 2.46, 2 In 2.68
Ga 0.0000 0.0000 0.0000  4 Rh 2.46
Ga 0.0000 0.5000 0.5000  4 Rh 2.46
In 0.5000 0.1574 0.6574  6 Rh 2.68-2.85, 1 In 2.89
In 0.5000 0.6574 0.8426  6 Rh 2.68-2.85, 1 In 2.89
In 0.5000 0.8426 0.3426  6 Rh 2.68-2.85, 1 In 2.89
In 0.5000 0.3426 0.1574  6 Rh 2.68-2.85, 1 In 2.89

InGa2Rh2 at its PBEsol-relaxed geometry. Source: Alexandria via LeMat-Bulk, functional meta-GGA SCAN.

Lattice parameters (Å, degrees): 2.9695 7.1940 7.1940 90.00 90.00 90.00
With the nearest neighbours (Å) after each atom.
Fractional positions:
Rh 0.0000 0.3502 0.8502  6 Ga 2.56-2.59, 2 In 2.74
Rh 0.0000 0.8502 0.6498  6 Ga 2.56-2.59, 2 In 2.74
Rh 0.0000 0.6498 0.1498  6 Ga 2.56-2.59, 2 In 2.74
Rh 0.0000 0.1498 0.3502  6 Ga 2.56-2.59, 2 In 2.74
Ga 0.5000 0.1452 0.6452  6 Rh 2.56-2.59
Ga 0.5000 0.6452 0.8548  6 Rh 2.56-2.59
Ga 0.5000 0.8548 0.3548  6 Rh 2.56-2.59
Ga 0.5000 0.3548 0.1452  6 Rh 2.56-2.59
In 0.0000 0.0000 0.0000  4 Rh 2.74, 2 In 2.97
In 0.0000 0.5000 0.5000  4 Rh 2.74, 2 In 2.97

| no. | calculated formation energy (meV/atom) |
| --- | --- |
| 1 | 134 |
| 2 | -446 |
| 3 | -593 |
| 4 | 1172 |
| 5 | -167 |
| 6 | 1150 |
| 7 | -458 |
| 8 | -514 |